(1)
MgBSbRh2 (GGA-PBE, optimized geometry); SG = P4/mmm (123); N(E_F) = 1.10 states/eV/atom; energy relative to the elements, uncorrected = 174 kJ/mol of atoms
1.0
-3.4229 -3.0429 -0.4316
2.7710 -3.4418 2.2896
-1.6985 1.3344 4.0616
Rh Sb Mg B
2 1 1 1
direct
0.0000 0.0000 0.5000
0.5000 0.0000 0.0000
0.0000 0.5000 0.0000
0.0000 0.0000 0.0000
0.5000 0.5000 0.5000


(2)
La2CeMgP4 (GGA-PBE, optimized geometry); SG = P2/m (10); N(E_F) = 0.18 states/eV/atom; energy = -6.092 eV/atom
1.0
-0.8780 1.2389 -3.8989
-5.9597 -3.9419 0.0896
-5.4297 3.8792 2.4554
P Mg La Ce
4 1 2 1
direct
0.0000 0.7321 0.7536
0.5000 0.2644 0.7423
0.0000 0.2679 0.2464
0.5000 0.7356 0.2577
0.5000 0.5000 0.0000
0.5000 0.0000 0.5000
0.0000 0.0000 0.0000
0.0000 0.5000 0.5000


(3)
CeNdGaIr (GGA-PBE, optimized geometry); SG = F-43m (216); N(E_F) = 1.63 states/eV/atom; distance to the lowest polymorph of the same formula = 194 meV/atom
1.0
-1.7303 -2.0237 4.3351
2.8332 -3.3774 2.5394
2.1286 1.2900 4.4370
Nd Ir Ce Ga
1 1 1 1
direct
0.5000 0.5000 0.5000
0.7500 0.7500 0.7500
0.0000 0.0000 0.0000
0.2500 0.2500 0.2500


(4)
Y3AsW (GGA-PBE, optimized geometry); SG = Pm-3m (221); N(E_F) = 0.49 states/eV/atom; distance to the lowest polymorph of the same formula = 15 meV/atom
1.0
5.3363 0.0000 0.0000
0.0000 5.3363 0.0000
0.0000 0.0000 5.3363
W Y As
1 3 1
direct
0.0000 0.0000 0.0000
0.0000 0.5000 0.0000
0.0000 0.0000 0.5000
0.5000 0.0000 0.0000
0.5000 0.5000 0.5000


(5)
Re3RuW (GGA-PBE, optimized geometry); SG = Pm-3m (221); N(E_F) = 1.31 states/eV/atom; distance to the lowest polymorph of the same formula = 2272 meV/atom
1.0
-3.5333 2.6933 1.3896
-1.9197 -3.6405 2.1750
2.3451 1.0778 3.8740
W Re Ru
1 3 1
direct
0.0000 0.0000 0.0000
0.0000 0.0000 0.5000
0.0000 0.5000 0.0000
0.5000 0.0000 0.0000
0.5000 0.5000 0.5000


(6)
CeSm8Dy4 (GGA-PBE, optimized geometry); SG = R-3m (166); N(E_F) = 1.79 states/eV/atom; energy = -4.282 eV/atom
1.0
9.8173 -0.0008 -5.2967
-6.3371 9.1802 -0.0005
-2.4232 -1.6723 7.2554
Sm Dy Ce
8 4 1
direct
0.5191 0.7595 0.2786
0.0085 0.2470 0.7700
0.9915 0.2385 0.2300
0.9915 0.7530 0.2300
0.4770 0.2385 0.2300
0.4809 0.2405 0.7214
0.5230 0.7615 0.7700
0.0085 0.7615 0.7700
0.0000 0.5000 0.0000
0.0000 0.0000 0.0000
0.5000 0.0000 0.0000
0.5000 0.5000 0.0000
0.0000 0.5000 0.5000


(7)
CaPmSm2As4 (GGA-PBE, optimized geometry); SG = P2/m (10); N(E_F) = 0.55 states/eV/atom; energy = -5.710 eV/atom
1.0
4.2277 0.0000 0.0000
0.0000 7.3375 -0.1487
0.0000 2.5779 6.8610
As Sm Ca Pm
4 2 1 1
direct
0.0000 0.7525 0.7505
0.0000 0.2475 0.2495
0.5000 0.7545 0.2465
0.5000 0.2455 0.7535
0.5000 0.0000 0.5000
0.0000 0.0000 0.0000
0.0000 0.5000 0.5000
0.5000 0.5000 0.0000


(8)
CdNiCl2 (GGA-PBE, optimized geometry); SG = I-42d (122); N(E_F) = 1.65 states/eV/atom; energy relative to the elements, uncorrected = -18 kJ/mol of atoms; distance to the lowest polymorph of the same formula = 204 meV/atom
1.0
6.3616 0.0000 0.0000
0.0000 6.3616 0.0000
3.1808 3.1808 4.8329
Ni Cl Cd
2 4 2
direct
0.2500 0.7500 0.5000
0.5000 0.5000 0.0000
0.8750 0.7902 0.7500
0.2098 0.6250 0.2500
0.5402 0.1250 0.2500
0.3750 0.4598 0.7500
0.0000 0.0000 0.0000
0.7500 0.2500 0.5000


(9)
PuPbIO4 (GGA-PBE, optimized geometry); SG = C2/m (12); N(E_F) = 0.58 states/eV/atom; energy relative to the elements, uncorrected = -152 kJ/mol of atoms
1.0
-6.2759 4.5818 4.3832
-8.4999 -1.9602 1.8714
3.5324 -2.7883 4.1345
Pb O Pu I
2 8 2 2
direct
0.2237 0.2237 0.8981
0.7763 0.7763 0.1019
0.1242 0.4915 0.2471
0.5397 0.5397 0.7199
0.4915 0.1242 0.2471
0.4603 0.4603 0.2801
0.5085 0.8758 0.7529
0.3291 0.3291 0.6778
0.6709 0.6709 0.3222
0.8758 0.5085 0.7529
0.3875 0.3875 0.4633
0.6125 0.6125 0.5367
0.0106 0.0106 0.2587
0.9894 0.9894 0.7413


(10)
Tb2YMg5 (GGA-PBE, optimized geometry); SG = I4/mmm (139); N(E_F) = 0.87 states/eV/atom; energy = -3.040 eV/atom
1.0
-2.3287 2.8474 3.7448
-3.4804 -3.8540 0.7661
7.4984 -2.6073 2.9664
Tb Mg Y
2 5 1
direct
0.7427 0.7427 0.4855
0.2573 0.2573 0.5145
0.6194 0.1194 0.2388
0.8806 0.3806 0.7612
0.5000 0.5000 0.0000
0.3806 0.8806 0.7612
0.1194 0.6194 0.2388
0.0000 0.0000 0.0000


(11)
AcAl6Rh2 (GGA-PBE, optimized geometry); SG = Immm (71); N(E_F) = 0.47 states/eV/atom; energy = -5.093 eV/atom
1.0
-3.8856 2.0928 0.5239
-4.9498 -3.7375 -2.8882
-3.5704 -3.1322 4.9247
Ac Al Rh
1 6 2
direct
0.0000 0.0000 0.0000
0.7434 0.5924 0.9207
0.7434 0.9207 0.5924
0.2566 0.4076 0.0793
0.5000 0.6694 0.3306
0.2566 0.0793 0.4076
0.5000 0.3306 0.6694
0.7076 0.2929 0.2929
0.2924 0.7071 0.7071


(12)
TaRe2Tc (GGA-PBE, optimized geometry); SG = Pmmm (47); N(E_F) = 1.02 states/eV/atom; distance to the lowest polymorph of the same formula = 8 meV/atom
1.0
3.1354 0.0000 0.0000
0.0000 4.4324 0.0000
0.0000 0.0000 4.4973
Re Tc Ta
2 1 1
direct
0.0000 0.0000 0.0000
0.5000 0.5000 0.0000
0.0000 0.5000 0.5000
0.5000 0.0000 0.5000


(13)
Na3SrF (GGA-PBE, optimized geometry); SG = Pm-3m (221); N(E_F) = 0.67 states/eV/atom; energy relative to the elements, uncorrected = -75 kJ/mol of atoms; distance to the lowest polymorph of the same formula = 0 meV/atom
1.0
-0.0487 0.1855 5.3793
-0.6913 -5.3352 0.1778
5.3379 -0.6893 0.0721
Na Sr F
3 1 1
direct
0.0000 0.5000 0.0000
0.5000 0.0000 0.0000
0.0000 0.0000 0.5000
0.5000 0.5000 0.5000
0.0000 0.0000 0.0000


(14)
MgIn2S (GGA-PBE, optimized geometry); SG = Fm-3m (225); N(E_F) = 0.17 states/eV/atom; energy relative to the elements, uncorrected = 5 kJ/mol of atoms; distance to the lowest polymorph of the same formula = 239 meV/atom
1.0
0.0000 3.6883 3.6883
3.6883 0.0000 3.6883
3.6883 3.6883 0.0000
In Mg S
2 1 1
direct
0.2500 0.2500 0.2500
0.7500 0.7500 0.7500
0.0000 0.0000 0.0000
0.5000 0.5000 0.5000


(15)
CdMoAs (GGA-PBE, optimized geometry); SG = I4mm (107); N(E_F) = 0.70 states/eV/atom; distance to the lowest polymorph of the same formula = 0 meV/atom
1.0
-1.8673 -3.0021 -4.3590
-1.2089 -5.4592 -0.4860
-0.6467 4.6573 3.0646
As Cd Mo
1 1 1
direct
0.0307 0.0307 0.0000
0.3309 0.3309 0.0000
0.6385 0.6385 0.0000


(16)
Nd2PaP3 (GGA-PBE, optimized geometry); SG = Immm (71); N(E_F) = 0.69 states/eV/atom; distance to the lowest polymorph of the same formula = 8 meV/atom
1.0
-0.2422 -4.5454 -3.5436
3.5742 -4.6439 5.7125
-6.2957 1.9643 2.6060
P Nd Pa
6 4 2
direct
0.1552 0.5777 0.3107
0.5001 0.7500 0.0000
0.4999 0.2500 0.0000
0.8445 0.9223 0.6893
0.8448 0.4223 0.6893
0.1555 0.0777 0.3107
0.3314 0.4156 0.6625
0.3311 0.9156 0.6625
0.6686 0.5844 0.3375
0.6689 0.0844 0.3375
0.0000 0.2500 0.0000
0.0000 0.7500 0.0000


(17)
MnCo4P (GGA-PBE, optimized geometry); SG = F-43m (216); N(E_F) = 1.53 states/eV/atom; energy = -6.915 eV/atom
1.0
-1.5426 -0.6567 4.3877
-4.1107 1.8331 1.3433
-3.6759 -2.8123 0.8008
Co P Mn
4 1 1
direct
0.3748 0.8755 0.3748
0.3748 0.3748 0.8755
0.3748 0.3748 0.3748
0.8755 0.3748 0.3748
0.0000 0.0000 0.0000
0.7500 0.7500 0.7500


(18)
Co4Ni2Pt (GGA-PBE, optimized geometry); SG = Pbca (61); N(E_F) = 1.07 states/eV/atom; distance to the lowest polymorph of the same formula = 0 meV/atom
1.0
4.2853 0.0000 0.0000
0.0000 8.6734 0.0000
0.0000 0.0000 9.1737
Co Ni Pt
16 8 4
direct
0.8148 0.6912 0.8088
0.1596 0.2778 0.4409
0.1596 0.2222 0.9409
0.6596 0.2222 0.5591
0.3148 0.8088 0.1912
0.8148 0.8088 0.3088
0.3404 0.7222 0.9409
0.1852 0.1912 0.6912
0.3404 0.7778 0.4409
0.1852 0.3088 0.1912
0.6852 0.3088 0.3088
0.6852 0.1912 0.8088
0.3148 0.6912 0.6912
0.8404 0.7778 0.0591
0.6596 0.2778 0.0591
0.8404 0.7222 0.5591
0.5207 0.5478 0.1736
0.0207 0.9522 0.8264
0.5207 0.9522 0.6736
0.9793 0.4522 0.6736
0.0207 0.5478 0.3264
0.9793 0.0478 0.1736
0.4793 0.4522 0.8264
0.4793 0.0478 0.3264
0.5000 0.5000 0.5000
0.5000 0.0000 0.0000
0.0000 0.5000 0.0000
0.0000 0.0000 0.5000


(19)
Nd8HoEr2 (GGA-PBE, optimized geometry); SG = Cmmm (65); N(E_F) = 1.61 states/eV/atom; distance to the lowest polymorph of the same formula = 0 meV/atom
1.0
-5.3151 0.5680 -1.2318
2.0058 0.7494 -8.2896
-1.1764 -8.3912 1.2269
Nd Ho Er
8 1 2
direct
0.9997 0.9695 0.7001
0.5000 0.3348 0.3348
0.5000 0.2528 0.7472
0.5000 0.6652 0.6652
0.0003 0.0305 0.2999
0.5000 0.7472 0.2528
0.0003 0.2999 0.0305
0.9997 0.7001 0.9695
0.5000 0.0000 0.0000
0.0000 0.6192 0.3808
0.0000 0.3808 0.6192


(20)
Zn2PbF6 (GGA-PBE, optimized geometry); SG = C2/c (15); N(E_F) = 0.00 states/eV/atom; energy relative to the elements, uncorrected = -221 kJ/mol of atoms; distance to the lowest polymorph of the same formula = 59 meV/atom
1.0
5.7956 -0.0141 -0.0137
1.6499 7.3354 0.8141
1.6499 1.0514 7.3052
F Zn Pb
12 4 2
direct
0.1018 0.6187 0.7227
0.6517 0.9729 0.8334
0.8982 0.3813 0.2773
0.3982 0.2773 0.3813
0.6084 0.6209 0.0268
0.8916 0.9732 0.3791
0.1084 0.0268 0.6209
0.1517 0.8334 0.9729
0.8483 0.1666 0.0271
0.3916 0.3791 0.9732
0.3483 0.0271 0.1666
0.6018 0.7227 0.6187
0.1340 0.1591 0.3506
0.8660 0.8409 0.6494
0.6340 0.3506 0.1591
0.3660 0.6494 0.8409
0.2500 0.1592 0.8408
0.7500 0.8408 0.1592